RhPb2Br: relaxed, PBE.

Results
magnetization	0.000	μB/atom
energy relative to the lowest polymorph listed for this composition	161.3	meV/atom
raw total energy	-16.49	eV per cell
raw formation energy	-13	meV per atom

extended XYZ file:
```
4
Lattice="-1.346 -6.171 -1.689 -1.143 -4.778 4.314 -1.549 5.807 -2.573" Properties=species:S:1:pos:R:3 pbc="T T T"
Pb -2.463 -10.832 2.597
Pb -1.949 -2.391 -1.601
Rh -1.269 -5.580 1.338
Br -2.091 -2.761 1.656
```


Tl2MoAu: relaxed, PBE.

Results
magnetization	0.000	μB/atom
energy relative to the lowest polymorph listed for this composition	349.3	meV/atom
raw total energy	-15.68	eV per cell
E_form	0.791	eV/atom

extended XYZ file:
```
4
Lattice="-1.220 0.528 4.700 -4.392 1.768 1.199 -3.353 -2.937 1.998" Properties=species:S:1:pos:R:3 pbc="T T T"
Tl -2.241 -0.160 1.974
Tl -6.723 -0.480 5.923
Au -4.482 -0.320 3.948
Mo 0.000 0.000 0.000
```


TlCd4Sn: relaxed, PBE.

Results
magnetization	0.000	μB/atom
energy relative to the lowest polymorph listed for this composition	0.0	meV/atom
raw total energy	-19.49	eV per cell
E_form	0.048	eV/atom

extended XYZ file:
```
12
Lattice="-0.566 2.150 3.923 -7.168 -2.253 0.200 2.819 -8.737 2.605" Properties=species:S:1:pos:R:3 pbc="T T T"
Tl -1.236 -2.243 1.051
Tl -3.679 -6.597 5.676
Cd -3.867 -0.051 2.061
Cd -0.283 1.075 1.961
Cd -6.299 -3.509 3.605
Cd 1.384 -5.331 3.122
Cd -1.511 -6.241 3.203
Cd -3.404 -2.599 3.525
Cd -5.049 -2.679 0.739
Cd 0.133 -6.161 5.988
Sn -4.171 -5.329 2.319
Sn -0.744 -3.511 4.409
```


TcP2Pt: relaxed, PBE.

Results
magnetization	0.000	μB/atom
energy relative to the lowest polymorph listed for this composition	52.6	meV/atom
raw total energy	-28.60	eV per cell
E_form	-0.343	eV/atom

extended XYZ file:
```
4
Lattice="3.982 -0.035 -0.391 2.773 2.859 -0.391 0.436 0.182 5.427" Properties=species:S:1:pos:R:3 pbc="T T T"
P 0.259 0.108 0.181
P 5.025 2.101 2.218
Pt 3.250 1.359 3.612
Tc 2.252 0.941 0.954
```


CaY2P: relaxed, PBE.

Results
magnetization	0.000	μB/atom
raw total energy	-22.52	eV per cell
E_form	-0.545	eV/atom

extended XYZ file:
```
4
Lattice="-1.746 -3.069 -1.422 5.757 -2.476 -1.724 3.799 -3.839 3.620" Properties=species:S:1:pos:R:3 pbc="T T T"
Ca 1.516 -3.113 -0.237
P 6.294 -6.271 0.711
Y 8.745 -5.780 1.735
Y 5.588 -3.693 1.109
```


CdRuBr2: relaxed, PBE.

Results
magnetization	0.144	μB/atom
energy relative to the lowest polymorph listed for this composition	72.4	meV/atom
raw total energy	-13.37	eV per cell
raw formation energy	40	meV per atom

extended XYZ file:
```
4
Lattice="-2.852 4.538 -0.216 -4.191 2.548 2.172 2.156 4.741 5.161" Properties=species:S:1:pos:R:3 pbc="T T T"
Ru -1.301 3.899 2.520
Br -6.075 6.780 2.244
Br -3.799 8.336 4.817
Cd -3.197 5.810 3.049
```


LiPuPa2S6: relaxed, PBE.

Results
magnetization	0.701	μB/atom
raw total energy	-72.08	eV per cell
raw formation energy	-1207	meV per atom

extended XYZ file:
```
10
Lattice="6.700 0.000 0.000 0.000 6.105 0.000 0.000 0.000 6.105" Properties=species:S:1:pos:R:3 pbc="T T T"
Li 3.609 0.000 0.000
Pu 3.759 3.052 3.052
Pa 6.665 3.052 0.000
Pa 6.665 0.000 3.052
S 5.069 1.467 1.467
S 5.069 1.467 4.638
S 1.036 3.052 3.052
S 1.179 0.000 0.000
S 5.069 4.638 4.638
S 5.069 4.638 1.467
```


Ba5Sr2Au4: relaxed, PBE.

Results
magnetization	0.000	μB/atom
raw total energy	-32.26	eV per cell
E_form	-0.561	eV/atom

extended XYZ file:
```
11
Lattice="4.612 0.000 -0.988 -0.998 10.682 -4.659 -0.270 -1.883 9.996" Properties=species:S:1:pos:R:3 pbc="T T T"
Ba 3.167 0.799 3.522
Ba 0.177 8.000 0.827
Ba 3.113 5.425 3.273
Ba 2.306 0.000 -0.494
Ba 0.230 3.373 1.075
Sr 1.786 7.261 -2.919
Sr 1.557 1.537 7.268
Au 0.978 3.236 4.565
Au 3.872 -0.652 6.813
Au 2.366 5.563 -0.216
Au -0.528 9.451 -2.464
```


Repeat the first record exactly.
RhPb2Br: relaxed, PBE.

Results
magnetization	0.000	μB/atom
energy relative to the lowest polymorph listed for this composition	161.3	meV/atom
raw total energy	-16.49	eV per cell
raw formation energy	-13	meV per atom

extended XYZ file:
```
4
Lattice="-1.346 -6.171 -1.689 -1.143 -4.778 4.314 -1.549 5.807 -2.573" Properties=species:S:1:pos:R:3 pbc="T T T"
Pb -2.463 -10.832 2.597
Pb -1.949 -2.391 -1.601
Rh -1.269 -5.580 1.338
Br -2.091 -2.761 1.656
```


What is the magnetization in the third record?
0.000 μB/atom


What did the fifth record say?
CaY2P: relaxed, PBE.

Results
magnetization	0.000	μB/atom
raw total energy	-22.52	eV per cell
E_form	-0.545	eV/atom

extended XYZ file:
```
4
Lattice="-1.746 -3.069 -1.422 5.757 -2.476 -1.724 3.799 -3.839 3.620" Properties=species:S:1:pos:R:3 pbc="T T T"
Ca 1.516 -3.113 -0.237
P 6.294 -6.271 0.711
Y 8.745 -5.780 1.735
Y 5.588 -3.693 1.109
```


What is the raw total energy in the first record?
-16.49 eV per cell